# Re2TeP

A geometry-optimized Re2TeP structure (GGA-PBE, the Alexandria database).

Structure (CIF):
```
data_Re2TeP
_chemical_formula_sum 'Re2 Te1 P1'
_symmetry_space_group_name_H-M 'P 4 m m'
_symmetry_Int_Tables_number 99
_cell_length_a 3.020
_cell_length_b 3.020
_cell_length_c 7.917
_cell_angle_alpha 90.00
_cell_angle_beta 90.00
_cell_angle_gamma 90.00
loop_
_symmetry_equiv_pos_as_xyz
'x,y,z'
'-y,x,z'
'-x,-y,z'
'y,-x,z'
'-x,y,z'
'y,x,z'
'x,-y,z'
'-y,-x,z'
loop_
_atom_site_label
_atom_site_type_symbol
_atom_site_fract_x
_atom_site_fract_y
_atom_site_fract_z
_atom_site_occupancy
Re1 Re 0.000 0.000 0.000 1
Re2 Re 0.500 0.500 0.234 1
Te1 Te 0.000 0.000 0.456 1
P1 P 0.500 0.500 0.838 1
```

## Properties
N(E_F) ... 1.69 states/eV/cell

# Re2TeP

A geometry-optimized Re2TeP structure (GGA-PBE, the Alexandria database).

Structure (CIF):
```
data_Re2TeP
_chemical_formula_sum 'Re2 Te1 P1'
_symmetry_space_group_name_H-M 'P 4/m m m'
_symmetry_Int_Tables_number 123
_symmetry_space_group_name_Hall '-P 4 2'
_cell_length_a 3.115
_cell_length_b 3.115
_cell_length_c 6.438
_cell_angle_alpha 90.00
_cell_angle_beta 90.00
_cell_angle_gamma 90.00
loop_
_atom_site_label
_atom_site_type_symbol
_atom_site_fract_x
_atom_site_fract_y
_atom_site_fract_z
_atom_site_occupancy
Re1 Re 0.000 0.000 0.214 1
Te1 Te 0.500 0.500 0.500 1
P1 P 0.500 0.500 0.000 1
```

## Properties
N(E_F) ... 3.35 states/eV/cell

# ReTe2P

A geometry-optimized ReTe2P structure (GGA-PBE, the Alexandria database).

Structure (CIF):
```
data_ReTe2P
_chemical_formula_sum 'Re1 Te2 P1'
_symmetry_space_group_name_H-M 'P m m m'
_symmetry_Int_Tables_number 47
_cell_length_a 3.335
_cell_length_b 4.630
_cell_length_c 5.135
_cell_angle_alpha 90.00
_cell_angle_beta 90.00
_cell_angle_gamma 90.00
loop_
_symmetry_equiv_pos_as_xyz
'x,y,z'
'-x,-y,-z'
'-x,-y,z'
'x,y,-z'
'x,-y,-z'
'-x,y,z'
'-x,y,-z'
'x,-y,z'
loop_
_atom_site_label
_atom_site_type_symbol
_atom_site_fract_x
_atom_site_fract_y
_atom_site_fract_z
_atom_site_occupancy
Re1 Re 0.000 0.000 0.000 1
Te1 Te 0.000 0.500 0.500 1
Te2 Te 0.500 0.500 0.000 1
P1 P 0.500 0.000 0.500 1
```

## Properties
N(E_F) ... 4.62 states/eV/cell

# Re2TeP

A geometry-optimized Re2TeP structure (GGA-PBE, the Alexandria database).

Structure (CIF):
```
data_Re2TeP
_chemical_formula_sum 'Re4 Te2 P2'
_symmetry_space_group_name_H-M 'I m m m'
_symmetry_Int_Tables_number 71
_symmetry_space_group_name_Hall '-I 2 2'
_cell_length_a 2.984
_cell_length_b 4.757
_cell_length_c 9.324
_cell_angle_alpha 90.00
_cell_angle_beta 90.00
_cell_angle_gamma 90.00
loop_
_atom_site_label
_atom_site_type_symbol
_atom_site_fract_x
_atom_site_fract_y
_atom_site_fract_z
_atom_site_occupancy
Re1 Re 0.000 0.000 0.204 1
Te1 Te 0.000 0.500 0.000 1
P1 P 0.000 0.500 0.500 1
```

## Properties
N(E_F) ... 4.80 states/eV/cell

# Re2TeP

A geometry-optimized Re2TeP structure (GGA-PBE, the Alexandria database).

Structure (CIF):
```
data_Re2TeP
_chemical_formula_sum 'Re4 Te2 P2'
_symmetry_space_group_name_H-M 'C m m m'
_symmetry_Int_Tables_number 65
_symmetry_space_group_name_Hall '-C 2 2'
_cell_length_a 3.126
_cell_length_b 5.096
_cell_length_c 8.545
_cell_angle_alpha 90.00
_cell_angle_beta 90.00
_cell_angle_gamma 90.00
loop_
_atom_site_label
_atom_site_type_symbol
_atom_site_fract_x
_atom_site_fract_y
_atom_site_fract_z
_atom_site_occupancy
Re1 Re 0.000 0.000 0.200 1
Te1 Te 0.000 0.500 0.500 1
P1 P 0.000 0.500 0.000 1
```

## Properties
N(E_F) ... 4.71 states/eV/cell

# Re2TeP

A geometry-optimized Re2TeP structure (GGA-PBE, the Alexandria database).

Structure (CIF):
```
data_Re2TeP
_chemical_formula_sum 'Re4 Te2 P2'
_symmetry_space_group_name_H-M 'C 1 2/m 1'
_symmetry_Int_Tables_number 12
_cell_length_a 7.479
_cell_length_b 3.130
_cell_length_c 6.107
_cell_angle_alpha 90.00
_cell_angle_beta 102.66
_cell_angle_gamma 90.00
loop_
_symmetry_equiv_pos_as_xyz
'x,y,z'
'-x,-y,-z'
'-x,y,-z'
'x,-y,z'
'x+1/2,y+1/2,z'
'-x+1/2,-y+1/2,-z'
'-x+1/2,y+1/2,-z'
'x+1/2,-y+1/2,z'
loop_
_atom_site_label
_atom_site_type_symbol
_atom_site_fract_x
_atom_site_fract_y
_atom_site_fract_z
_atom_site_occupancy
Re1 Re 0.232 0.000 0.174 1
Te1 Te 0.000 0.000 0.500 1
P1 P 0.000 0.500 0.000 1
```

## Properties
N(E_F) ... 6.36 states/eV/cell

These records have ΔE_f (raw) values of 0.81, 1.71, 4.37, 2.83, 2.97, 1.37 eV/f.u., in the order they appear.